# 1
The following is a DFT calculation (PBE) of a geometry-optimized CaNdPt structure.

Summary:
spin magnetization = 0.00 μB/f.u.
energy above the most stable polymorph in this dataset = 0.0753 eV per atom

Cell: 4.2025 4.2025 6.5725 Å, 90.00 90.00 120.00°
Space group P3m1 (No. 156)
Unique sites:
Ca 0.0000 0.0000 0.0000 [1 per cell]
Nd 0.6667 0.3333 0.5283 [1 per cell]
Pt 0.3333 0.6667 0.7530 [1 per cell]



# 2
The following is a DFT calculation (PBE) of a geometry-optimized CaNd4Pt2 structure.

Summary:
spin magnetization = 0.00 μB/f.u.
energy above the most stable polymorph in this dataset = 0.0793 eV per atom

Cell: 7.552 7.556 8.966 Å, 106.34 106.36 97.02°
Space group P1 (No. 1)
Unique sites:
Ca 0.000 0.000 0.000 [1 per cell]
Ca 0.032 0.966 0.500 [1 per cell]
Nd 0.212 0.673 0.739 [1 per cell]
Nd 0.250 0.709 0.227 [1 per cell]
Nd 0.265 0.317 0.396 [1 per cell]
Nd 0.350 0.232 0.896 [1 per cell]
Nd 0.689 0.693 0.591 [1 per cell]
Nd 0.706 0.179 0.239 [1 per cell]
Nd 0.726 0.656 0.091 [1 per cell]
Nd 0.742 0.217 0.727 [1 per cell]
Pt 0.501 0.467 0.240 [1 per cell]
Pt 0.501 0.468 0.740 [1 per cell]
Pt 0.590 0.947 0.881 [1 per cell]
Pt 0.980 0.557 0.380 [1 per cell]



# 3
The following is a DFT calculation (PBE) of a geometry-optimized CaNdPt2 structure.

Summary:
spin magnetization = 0.00 μB/f.u.
energy above the most stable polymorph in this dataset = 0.0000 eV per atom

Cell: 4.426 3.972 10.847 Å, 90.00 90.00 90.00°
Space group Amm2 (No. 38)
Unique sites:
Ca 0.000 0.000 0.000 [2 per cell]
Nd 0.500 0.000 0.281 [2 per cell]
Pt 0.000 0.000 0.723 [2 per cell]
Pt 0.500 0.000 0.558 [2 per cell]